[1]
First-principles (PBE) data for a relaxed LaTb5Hg3 crystal, as listed in Alexandria via LeMat-Bulk.

Computed properties:
- Density of states at the Fermi level: 14.6 states/eV/cell
- ΔE_f: -0.287 eV per atom

Lattice parameters (Å, degrees): 9.1720 9.1720 7.0161 90.00 90.00 120.00
Closest atoms and distances in Å follow each position.
Positions (direct):
1 La 0.0000 0.0000 0.0000  6 Tb 3.51, 2 La 3.51, 6 Hg 3.59
2 La 0.0000 0.0000 0.5000  6 Tb 3.51, 2 La 3.51, 6 Hg 3.59
3 Tb 0.0000 0.3309 0.2500  3 Hg 3.00-3.09
4 Tb 0.0000 0.6691 0.7500  3 Hg 3.00-3.09
5 Tb 0.3309 0.0000 0.2500  3 Hg 3.00-3.09
6 Tb 0.3309 0.3309 0.7500  3 Hg 3.00-3.09
7 Tb 0.3333 0.6667 0.0000  6 Hg 3.49, 8 Tb 3.51-3.53
8 Tb 0.3333 0.6667 0.5000  6 Hg 3.49, 8 Tb 3.51-3.53
9 Tb 0.6667 0.3333 0.0000  6 Hg 3.49, 8 Tb 3.51-3.53
10 Tb 0.6667 0.3333 0.5000  6 Hg 3.49, 8 Tb 3.51-3.53
11 Tb 0.6691 0.0000 0.7500  3 Hg 3.00-3.09
12 Tb 0.6691 0.6691 0.2500  3 Hg 3.00-3.09
13 Hg 0.0000 0.3419 0.7500  3 Tb 3.00-3.09
14 Hg 0.0000 0.6581 0.2500  3 Tb 3.00-3.09
15 Hg 0.3419 0.0000 0.7500  3 Tb 3.00-3.09
16 Hg 0.3419 0.3419 0.2500  3 Tb 3.00-3.09
17 Hg 0.6581 0.0000 0.2500  3 Tb 3.00-3.09
18 Hg 0.6581 0.6581 0.7500  3 Tb 3.00-3.09

[2]
First-principles (PBE) data for a relaxed LaTb2Hg2 crystal, as listed in Alexandria via LeMat-Bulk.

Computed properties:
- Density of states at the Fermi level: 7.5 states/eV/cell
- Polymorph energy (0 for the lowest one): 0.75 eV per formula unit
- ΔE_f: -0.233 eV per atom

Lattice parameters (Å, degrees): 5.3141 5.3141 6.3739 90.00 90.00 120.00
Closest atoms and distances in Å follow each position.
Positions (direct):
1 La 0.0000 0.0000 0.0000  6 Hg 3.27
2 Tb 0.3333 0.6667 0.6574  5 Hg 3.05-3.32
3 Tb 0.6667 0.3333 0.3426  5 Hg 3.05-3.32
4 Hg 0.3333 0.6667 0.1787  5 Tb 3.05-3.32, 3 La 3.27
5 Hg 0.6667 0.3333 0.8213  5 Tb 3.05-3.32, 3 La 3.27

[3]
First-principles (PBE) data for a relaxed La2TbHg5 crystal, as listed in Alexandria via LeMat-Bulk.

Computed properties:
- Density of states at the Fermi level: 7.2 states/eV/cell
- ΔE_f: -0.436 eV per atom

Lattice parameters (Å, degrees): 8.5671 8.5671 8.5671 144.14 144.14 51.61
Closest atoms and distances in Å follow each position.
Positions (direct):
1 La 0.2346 0.2346 0.0000  8 Hg 3.22-3.51
2 La 0.7654 0.7654 0.0000  8 Hg 3.22-3.51
3 Tb 0.5000 0.5000 0.0000  8 Hg 3.18
4 Hg 0.0000 0.0000 0.0000  8 Hg 3.18
5 Hg 0.1151 0.6151 0.5000  3 Hg 3.18-3.55, 2 Tb 3.18, 4 La 3.22-3.51
6 Hg 0.3849 0.8849 0.5000  2 Tb 3.18, 3 Hg 3.18-3.55, 4 La 3.22-3.51
7 Hg 0.6151 0.1151 0.5000  3 Hg 3.18-3.55, 2 Tb 3.18, 4 La 3.22-3.51
8 Hg 0.8849 0.3849 0.5000  2 Tb 3.18, 3 Hg 3.18-3.55, 4 La 3.22-3.51

[4]
First-principles (PBE) data for a relaxed La4Tb3Hg crystal, as listed in Alexandria via LeMat-Bulk.

Computed properties:
- Density of states at the Fermi level: 12.7 states/eV/cell
- ΔE_f: -0.042 eV per atom

Lattice parameters (Å, degrees): 4.1599 4.1599 15.3886 90.00 90.00 90.00
Closest atoms and distances in Å follow each position.
Positions (direct):
1 La 0.0000 0.0000 0.1127  4 Hg 3.41, 1 La 3.47, 4 Tb 3.63
2 La 0.0000 0.0000 0.3796  8 Tb 3.48-3.55, 1 La 3.71
3 La 0.0000 0.0000 0.6204  8 Tb 3.48-3.55, 1 La 3.71
4 La 0.0000 0.0000 0.8873  4 Hg 3.41, 1 La 3.47, 4 Tb 3.63
5 Tb 0.5000 0.5000 0.2508  8 La 3.55-3.63, 1 Tb 3.84, 1 Hg 3.86
6 Tb 0.5000 0.5000 0.5000  8 La 3.48, 2 Tb 3.84
7 Tb 0.5000 0.5000 0.7492  8 La 3.55-3.63, 1 Tb 3.84, 1 Hg 3.86
8 Hg 0.5000 0.5000 0.0000  8 La 3.41

[5]
First-principles (PBE) data for a relaxed La6TbHg2 crystal, as listed in Alexandria via LeMat-Bulk.

Computed properties:
- Density of states at the Fermi level: 11.6 states/eV/cell
- ΔE_f: -0.223 eV per atom

Lattice parameters (Å, degrees): 6.8685 6.8685 12.3545 107.63 107.63 32.72
Closest atoms and distances in Å follow each position.
Positions (direct):
1 La 0.0240 0.0240 0.3364  2 Hg 3.32, 3 La 3.56-3.69
2 La 0.3075 0.3075 0.4059  2 Hg 3.50, 10 La 3.52-3.87
3 La 0.3160 0.3160 0.1242  2 Hg 3.34, 5 La 3.52-3.69
4 La 0.6841 0.6841 0.8758  2 Hg 3.34, 5 La 3.52-3.69
5 La 0.6925 0.6925 0.5941  2 Hg 3.50, 10 La 3.52-3.87
6 La 0.9760 0.9760 0.6636  2 Hg 3.32, 3 La 3.56-3.69
7 Tb 0.0000 0.0000 0.0000  4 Hg 3.12
8 Hg 0.3640 0.3640 0.8121  2 Tb 3.12, 4 La 3.32-3.34
9 Hg 0.6360 0.6360 0.1879  2 Tb 3.12, 4 La 3.32-3.34

[6]
First-principles (PBE) data for a relaxed La2Tb2Hg crystal, as listed in Alexandria via LeMat-Bulk.

Computed properties:
- Density of states at the Fermi level: 6.7 states/eV/cell
- Polymorph energy (0 for the lowest one): 0.00 eV per formula unit
- ΔE_f: -0.183 eV per atom

Lattice parameters (Å, degrees): 11.8487 11.8487 11.8487 162.04 162.04 25.50
Closest atoms and distances in Å follow each position.
Positions (direct):
1 La 0.1924 0.1924 0.0000  4 Tb 3.65, 8 La 3.70-3.73
2 La 0.8076 0.8076 0.0000  4 Tb 3.65, 8 La 3.70-3.73
3 Tb 0.4178 0.4178 0.0000  4 Hg 3.23
4 Tb 0.5822 0.5822 0.0000  4 Hg 3.23
5 Hg 0.0000 0.0000 0.0000  8 Tb 3.23

[7]
First-principles (PBE) data for a relaxed LaTb3Hg crystal, as listed in Alexandria via LeMat-Bulk.

Computed properties:
- Density of states at the Fermi level: 17.0 states/eV/cell
- ΔE_f: 0.337 eV per atom

Lattice parameters (Å, degrees): 11.2078 11.2078 11.2078 148.28 148.28 45.48
Closest atoms and distances in Å follow each position.
Positions (direct):
1 La 0.1905 0.1905 0.0000  2 Hg 3.30
2 La 0.8095 0.8095 0.0000  2 Hg 3.30
3 Tb 0.3742 0.6233 0.7508  2 Hg 2.97-3.04, 2 Tb 3.05-3.07
4 Tb 0.3767 0.1275 0.7508  2 Hg 2.97-3.04, 2 Tb 3.05-3.07
5 Tb 0.3767 0.6258 0.2492  2 Hg 2.97-3.04, 2 Tb 3.05-3.07
6 Tb 0.5396 0.0396 0.5000  2 Hg 3.17
7 Tb 0.8725 0.6233 0.2492  2 Hg 2.97-3.04, 2 Tb 3.05-3.07
8 Tb 0.9604 0.4604 0.5000  2 Hg 3.17
9 Hg 0.2500 0.7500 0.5000  4 Tb 3.04, 4 La 3.30
10 Hg 0.5000 0.5000 0.0000  8 Tb 2.97-3.17

[8]
First-principles (PBE) data for a relaxed La4Tb5Hg crystal, as listed in Alexandria via LeMat-Bulk.

Computed properties:
- Density of states at the Fermi level: 15.8 states/eV/cell
- ΔE_f: -0.079 eV per atom

Lattice parameters (Å, degrees): 3.6763 3.6763 24.2025 90.00 90.00 90.00
Closest atoms and distances in Å follow each position.
Positions (direct):
1 La 0.0000 0.0000 0.1051  8 Tb 3.64, 4 La 3.68
2 La 0.0000 0.0000 0.3157  8 Tb 3.63-3.64, 4 La 3.68
3 La 0.0000 0.0000 0.6843  8 Tb 3.63-3.64, 4 La 3.68
4 La 0.0000 0.0000 0.8949  8 Tb 3.64, 4 La 3.68
5 Tb 0.5000 0.5000 0.0000  8 La 3.64, 4 Tb 3.68
6 Tb 0.5000 0.5000 0.2106  8 La 3.64, 4 Tb 3.68
7 Tb 0.5000 0.5000 0.4203  4 Hg 3.24
8 Tb 0.5000 0.5000 0.5797  4 Hg 3.24
9 Tb 0.5000 0.5000 0.7894  8 La 3.64, 4 Tb 3.68
10 Hg 0.0000 0.0000 0.5000  8 Tb 3.24

[9]
First-principles (PBE) data for a relaxed La3TbHg crystal, as listed in Alexandria via LeMat-Bulk.

Computed properties:
- Density of states at the Fermi level: 14.9 states/eV/cell
- Polymorph energy (0 for the lowest one): 0.07 eV per formula unit
- ΔE_f: -0.088 eV per atom

Lattice parameters (Å, degrees): 11.6140 11.6140 8.3417 104.90 104.90 18.21
Closest atoms and distances in Å follow each position.
Positions (direct):
1 La 0.0146 0.0146 0.2483  4 Hg 3.33-3.55, 3 La 3.64-3.68
2 La 0.1748 0.1748 0.4596  2 Hg 3.29, 3 Tb 3.46-3.54, 3 La 3.64-3.68
3 La 0.3802 0.3802 0.9684  1 Hg 3.37, 3 Tb 3.60-3.63, 2 La 3.68
4 La 0.6198 0.6198 0.0316  1 Hg 3.37, 3 Tb 3.60-3.63, 2 La 3.68
5 La 0.8252 0.8252 0.5404  2 Hg 3.29, 3 Tb 3.46-3.54, 3 La 3.64-3.68
6 La 0.9854 0.9854 0.7517  4 Hg 3.33-3.55, 3 La 3.64-3.68
7 Tb 0.2604 0.2604 0.1743  4 Tb 3.37-3.68, 6 La 3.46-3.63, 1 Hg 3.56
8 Tb 0.7396 0.7396 0.8257  4 Tb 3.37-3.68, 6 La 3.46-3.63, 1 Hg 3.56
9 Hg 0.4169 0.4169 0.3866  7 La 3.29-3.55, 1 Tb 3.56, 2 Hg 3.68
10 Hg 0.5831 0.5831 0.6134  7 La 3.29-3.55, 1 Tb 3.56, 2 Hg 3.68

[10]
First-principles (PBE) data for a relaxed La2Tb3Hg3 crystal, as listed in Alexandria via LeMat-Bulk.

Computed properties:
- Density of states at the Fermi level: 8.4 states/eV/cell
- ΔE_f: -0.340 eV per atom

Lattice parameters (Å, degrees): 11.8628 11.8628 11.8628 161.49 154.09 32.04
Closest atoms and distances in Å follow each position.
Positions (direct):
1 La 0.2294 0.2294 0.0000  2 Hg 3.30, 4 La 3.41
2 La 0.7706 0.7706 0.0000  2 Hg 3.30, 4 La 3.41
3 Tb 0.0000 0.0000 0.0000  8 Hg 3.18-3.27
4 Tb 0.3836 0.8836 0.5000  6 Hg 3.27-3.28
5 Tb 0.6164 0.1164 0.5000  6 Hg 3.27-3.28
6 Hg 0.1114 0.6114 0.5000  6 Tb 3.18-3.28, 2 La 3.30
7 Hg 0.5000 0.5000 0.0000  8 Tb 3.27
8 Hg 0.8886 0.3886 0.5000  6 Tb 3.18-3.28, 2 La 3.30

[11]
First-principles (PBE) data for a relaxed La14TbHg crystal, as listed in Alexandria via LeMat-Bulk.

Computed properties:
- Density of states at the Fermi level: 19.2 states/eV/cell
- ΔE_f: -0.046 eV per atom

Lattice parameters (Å, degrees): 10.4296 7.3080 7.3080 90.01 90.00 90.00
Closest atoms and distances in Å follow each position.
Positions (direct):
1 La 0.0000 0.0000 0.0000  12 La 3.54-3.80
2 La 0.0000 0.4840 0.9982  12 La 3.54-3.77
3 La 0.0000 0.4896 0.4896  12 La 3.59-3.74
4 La 0.0000 0.9982 0.4840  12 La 3.54-3.77
5 La 0.2442 0.7397 0.7397  10 La 3.60-3.71, 1 Hg 3.69, 1 Tb 3.72
6 La 0.2562 0.2472 0.7374  10 La 3.57-3.75, 1 Hg 3.59, 1 Tb 3.66
7 La 0.2562 0.7374 0.2472  10 La 3.57-3.75, 1 Hg 3.59, 1 Tb 3.66
8 La 0.2678 0.2493 0.2493  1 Hg 3.49, 10 La 3.57-3.80, 1 Tb 3.61
9 La 0.5000 0.4997 0.9733  2 Hg 3.51-3.79, 8 La 3.58-3.67, 2 Tb 3.59-3.73
10 La 0.5000 0.9733 0.4997  2 Hg 3.51-3.79, 8 La 3.58-3.67, 2 Tb 3.59-3.73
11 La 0.7322 0.2493 0.2493  1 Hg 3.49, 10 La 3.57-3.80, 1 Tb 3.61
12 La 0.7438 0.2472 0.7374  10 La 3.57-3.75, 1 Hg 3.59, 1 Tb 3.66
13 La 0.7438 0.7374 0.2472  10 La 3.57-3.75, 1 Hg 3.59, 1 Tb 3.66
14 La 0.7558 0.7397 0.7397  10 La 3.60-3.71, 1 Hg 3.69, 1 Tb 3.72
15 Tb 0.5000 0.9902 0.9902  12 La 3.59-3.73
16 Hg 0.5000 0.4923 0.4923  12 La 3.49-3.79